SrOsCl2: optimized geometry, GGA-PBE.

abc: 6.7954 6.7954 4.9573
angles: 93.62 93.62 34.15
Closest atoms and distances in Å follow each position.
Fractional coordinates of all 4 atoms:
Sr (0.0000, 0.0000, 0.0000)  4 Cl 3.08, 4 Os 3.18
Os (0.5000, 0.5000, 0.5000)  2 Cl 2.28
Cl (0.3490, 0.3490, 0.2364)  1 Os 2.28
Cl (0.6510, 0.6510, 0.7636)  1 Os 2.28

Computed properties:
space group: C2/m (12)
energy above the lowest structure with this stoichiometry: 0.0373 eV/atom
total moment: 2.0 Bohr magnetons per cell
calculated total energy: -18.1 eV/f.u.